[1]
# K2BiAs (PBE, relaxed)
data_K2BiAs
_chemical_formula_sum 'K4 Bi2 As2'
_cell_length_a 4.279
_cell_length_b 10.479
_cell_length_c 6.756
_cell_angle_alpha 90.00
_cell_angle_beta 90.00
_cell_angle_gamma 90.00
_space_group_name_H-M_alt 'P m m n'
_space_group_IT_number 59
loop_
_space_group_symop_operation_xyz
'x,y,z'
'-x,-y,-z'
'-x+1/2,-y+1/2,z'
'x+1/2,y+1/2,-z'
'x+1/2,-y,-z'
'-x+1/2,y,z'
'-x,y+1/2,-z'
'x,-y+1/2,z'
loop_
_atom_site_label
_atom_site_type_symbol
_atom_site_fract_x
_atom_site_fract_y
_atom_site_fract_z
K1 K 0.250 0.047 0.231
Bi1 Bi 0.250 0.250 0.718
As1 As 0.250 0.750 0.010
# Formation energy   -1.44 eV per formula unit
# Energy above the lowest structure with this stoichiometry   0 meV per atom


[2]
# K4BiAs2 (PBE, relaxed)
data_K4BiAs2
_chemical_formula_sum 'K8 Bi2 As4'
_cell_length_a 11.916
_cell_length_b 11.916
_cell_length_c 4.904
_cell_angle_alpha 90.00
_cell_angle_beta 90.00
_cell_angle_gamma 90.00
_space_group_name_H-M_alt 'I 4/m'
_space_group_IT_number 87
_space_group_name_Hall '-I 4'
loop_
_atom_site_label
_atom_site_type_symbol
_atom_site_fract_x
_atom_site_fract_y
_atom_site_fract_z
K1 K 0.043 0.234 0.000
Bi1 Bi 0.000 0.000 0.500
As1 As 0.000 0.500 0.250
# Formation energy   -1.39 eV per formula unit


[3]
# KBiAs3 (PBE, relaxed)
data_KBiAs3
_chemical_formula_sum 'K1 Bi1 As3'
_cell_length_a 5.368
_cell_length_b 5.368
_cell_length_c 5.368
_cell_angle_alpha 90.00
_cell_angle_beta 90.00
_cell_angle_gamma 90.00
_space_group_name_H-M_alt 'P m -3 m'
_space_group_IT_number 221
_space_group_name_Hall '-P 4 2 3'
loop_
_atom_site_label
_atom_site_type_symbol
_atom_site_fract_x
_atom_site_fract_y
_atom_site_fract_z
K1 K 0.000 0.000 0.000
Bi1 Bi 0.500 0.500 0.500
As1 As 0.000 0.000 0.500
# Formation energy   7.08 eV per formula unit
# Energy above the lowest structure with this stoichiometry   860 meV per atom


[4]
# K8Bi2As (PBE, relaxed)
data_K8Bi2As
_chemical_formula_sum 'K16 Bi4 As2'
_cell_length_a 10.461
_cell_length_b 18.870
_cell_length_c 5.792
_cell_angle_alpha 90.00
_cell_angle_beta 123.54
_cell_angle_gamma 90.00
_space_group_name_H-M_alt 'C 1 m 1'
_space_group_IT_number 8
_space_group_name_Hall 'C -2y'
loop_
_atom_site_label
_atom_site_type_symbol
_atom_site_fract_x
_atom_site_fract_y
_atom_site_fract_z
K1 K 0.000 0.000 0.000
K2 K 0.041 0.152 0.542
K3 K 0.052 0.296 0.053
K4 K 0.164 0.500 0.164
K5 K 0.373 0.096 0.374
Bi1 Bi 0.269 0.342 0.770
As1 As 0.271 0.000 0.771
# Formation energy   -3.53 eV per formula unit
# Energy above the lowest structure with this stoichiometry   8 meV per atom


[5]
# KBiAs3 (PBE, relaxed)
data_KBiAs3
_chemical_formula_sum 'K1 Bi1 As3'
_cell_length_a 5.582
_cell_length_b 5.582
_cell_length_c 5.582
_cell_angle_alpha 90.00
_cell_angle_beta 90.00
_cell_angle_gamma 90.00
_space_group_name_H-M_alt 'P m -3 m'
_space_group_IT_number 221
_space_group_name_Hall '-P 4 2 3'
loop_
_atom_site_label
_atom_site_type_symbol
_atom_site_fract_x
_atom_site_fract_y
_atom_site_fract_z
K1 K 0.000 0.000 0.000
Bi1 Bi 0.500 0.500 0.500
As1 As 0.000 0.500 0.500
# Formation energy   2.79 eV per formula unit
# Energy above the lowest structure with this stoichiometry   0 meV per atom


[6]
# K2NiBiAs (PBE, relaxed)
data_K2NiBiAs
_chemical_formula_sum 'K2 Ni1 Bi1 As1'
_cell_length_a 6.381
_cell_length_b 6.381
_cell_length_c 5.437
_cell_angle_alpha 90.00
_cell_angle_beta 90.00
_cell_angle_gamma 90.00
_space_group_name_H-M_alt 'P 4/m m m'
_space_group_IT_number 123
_space_group_name_Hall '-P 4 2'
loop_
_atom_site_label
_atom_site_type_symbol
_atom_site_fract_x
_atom_site_fract_y
_atom_site_fract_z
K1 K 0.000 0.500 0.000
Ni1 Ni 0.000 0.000 0.500
Bi1 Bi 0.500 0.500 0.500
As1 As 0.500 0.500 0.000
# Formation energy   2.76 eV per formula unit


[7]
# KBiAsO6 (PBE, relaxed)
data_KBiAsO6
_chemical_formula_sum 'K1 Bi1 As1 O6'
_cell_length_a 5.3487
_cell_length_b 5.3487
_cell_length_c 6.0673
_cell_angle_alpha 90.00
_cell_angle_beta 90.00
_cell_angle_gamma 120.00
_space_group_name_H-M_alt 'P 3 1 2'
_space_group_IT_number 149
_space_group_name_Hall 'P 3 2'
loop_
_atom_site_label
_atom_site_type_symbol
_atom_site_fract_x
_atom_site_fract_y
_atom_site_fract_z
K1 K 0.0000 0.0000 0.0000
Bi1 Bi 0.3333 0.6667 0.5000
As1 As 0.6667 0.3333 0.5000
O1 O 0.3982 0.0402 0.6827
# Energy relative to the elements, uncorrected   -0.996 eV per atom


[8]
# KBiAsO4 (PBE, relaxed)
data_KBiAsO4
_chemical_formula_sum 'K4 Bi4 As4 O16'
_cell_length_a 9.310
_cell_length_b 9.310
_cell_length_c 9.310
_cell_angle_alpha 90.00
_cell_angle_beta 90.00
_cell_angle_gamma 90.00
_space_group_name_H-M_alt 'F -4 3 m'
_space_group_IT_number 216
_space_group_name_Hall 'F -4 2 3'
loop_
_atom_site_label
_atom_site_type_symbol
_atom_site_fract_x
_atom_site_fract_y
_atom_site_fract_z
K1 K 0.000 0.000 0.000
Bi1 Bi 0.250 0.250 0.750
As1 As 0.000 0.000 0.500
O1 O 0.112 0.112 0.612
# Energy relative to the elements, uncorrected   -1.080 eV per atom


[9]
# K2BiAs2O6 (PBE, relaxed)
data_K2BiAs2O6
_chemical_formula_sum 'K4 Bi2 As4 O12'
_cell_length_a 9.915
_cell_length_b 6.077
_cell_length_c 7.347
_cell_angle_alpha 90.00
_cell_angle_beta 116.79
_cell_angle_gamma 90.00
_space_group_name_H-M_alt 'C 1 2/m 1'
_space_group_IT_number 12
_space_group_name_Hall '-C 2y'
loop_
_atom_site_label
_atom_site_type_symbol
_atom_site_fract_x
_atom_site_fract_y
_atom_site_fract_z
K1 K 0.201 0.000 0.164
Bi1 Bi 0.000 0.000 0.500
As1 As 0.062 0.500 0.221
O1 O 0.038 0.265 0.760
O2 O 0.242 0.500 0.431
# Energy relative to the elements, uncorrected   -1.375 eV per atom


[10]
# KBiAs2O8 (PBE, relaxed)
data_KBiAs2O8
_chemical_formula_sum 'K3 Bi3 As6 O24'
_cell_length_a 5.0773
_cell_length_b 5.0773
_cell_length_c 27.8245
_cell_angle_alpha 90.00
_cell_angle_beta 90.00
_cell_angle_gamma 120.00
_space_group_name_H-M_alt 'R 3 2'
_space_group_IT_number 155
_space_group_name_Hall 'R 3 2"'
loop_
_atom_site_label
_atom_site_type_symbol
_atom_site_fract_x
_atom_site_fract_y
_atom_site_fract_z
K1 K 0.0000 0.0000 0.0000
Bi1 Bi 0.0000 0.0000 0.5000
As1 As 0.0000 0.0000 0.2395
O1 O 0.0000 0.0000 0.2995
O2 O 0.0036 0.3537 0.8838
# Energy relative to the elements, uncorrected   -1.132 eV per atom


[11]
# K3Bi2As3O12 (PBE, relaxed)
data_K3Bi2As3O12
_chemical_formula_sum 'K12 Bi8 As12 O48'
_cell_length_a 14.256
_cell_length_b 14.083
_cell_length_c 7.201
_cell_angle_alpha 90.00
_cell_angle_beta 114.94
_cell_angle_gamma 90.00
_space_group_name_H-M_alt 'C 1 2/c 1'
_space_group_IT_number 15
_space_group_name_Hall '-C 2yc'
loop_
_atom_site_label
_atom_site_type_symbol
_atom_site_fract_x
_atom_site_fract_y
_atom_site_fract_z
K1 K 0.000 0.000 0.000
K2 K 0.000 0.224 0.250
K3 K 0.000 0.491 0.250
Bi1 Bi 0.235 0.350 0.166
As1 As 0.000 0.250 0.750
As2 As 0.243 0.395 0.637
O1 O 0.066 0.327 0.953
O2 O 0.075 0.179 0.675
O3 O 0.142 0.069 0.360
O4 O 0.169 0.489 0.654
O5 O 0.171 0.336 0.407
O6 O 0.237 0.182 0.159
# Energy relative to the elements, uncorrected   -1.528 eV per atom


[12]
# KBiAs2O6 (PBE, relaxed)
data_KBiAs2O6
_chemical_formula_sum 'K4 Bi4 As8 O24'
_cell_length_a 10.591
_cell_length_b 9.974
_cell_length_c 6.919
_cell_angle_alpha 90.00
_cell_angle_beta 113.37
_cell_angle_gamma 90.00
_space_group_name_H-M_alt 'C 1 2/c 1'
_space_group_IT_number 15
_space_group_name_Hall '-C 2yc'
loop_
_atom_site_label
_atom_site_type_symbol
_atom_site_fract_x
_atom_site_fract_y
_atom_site_fract_z
K1 K 0.000 0.209 0.250
Bi1 Bi 0.000 0.391 0.750
As1 As 0.195 0.072 0.761
O1 O 0.122 0.418 0.127
O2 O 0.142 0.241 0.699
O3 O 0.154 0.009 0.992
# Energy relative to the elements, uncorrected   -1.274 eV per atom


For each record above, in turn, the calculated spin magnetization values are 0.000, 0.000, 0.000, 2.396, 0.000, 0.890, 1.062, 0.000, 1.904, 0.000, 0.000, 0.000 μB per cell.